Entry 1:
Entry from Alexandria via LeMat-Bulk: a relaxed ZnInAg6 crystal (PBE).

Formation enthalpy at 0 K: -0.007 eV/atom
Total moment: 0.0 μB/f.u.
Energy relative to the lowest polymorph listed for this composition: 0 meV per atom
DFT total energy: -21.2 eV/cell
DOS at the Fermi energy: 0.20 states/eV per atom

Lattice parameters (Å, degrees): 4.550 5.725 5.725 104.50 90.00 90.00
Fractional coordinates of all 8 atoms:
Zn 0.500 0.144 0.856
In 0.500 0.624 0.376
Ag 0.500 0.123 0.357
Ag 0.500 0.643 0.877
Ag 0.000 0.332 0.099
Ag 0.000 0.901 0.668
Ag 0.000 0.385 0.615
Ag 0.000 0.847 0.153



Entry 2:
Entry from Alexandria via LeMat-Bulk: a relaxed TlSn2F11 crystal (PBE).

Total moment: 0.0 μB/f.u.
DFT total energy: -122.7 eV/cell
Formation energy without anion corrections: -30.4 eV/f.u.

Lattice parameters (Å, degrees): 7.762 8.198 8.198 73.78 61.74 61.74
Fractional coordinates of all 28 atoms:
Tl 0.750 0.750 0.750
Tl 0.250 0.250 0.250
Sn 0.642 0.682 0.318
Sn 0.358 0.318 0.682
Sn 0.858 0.182 0.818
Sn 0.142 0.818 0.182
F 0.631 0.701 0.565
F 0.369 0.299 0.435
F 0.102 0.565 0.701
F 0.869 0.935 0.799
F 0.898 0.435 0.299
F 0.131 0.065 0.201
F 0.398 0.799 0.935
F 0.602 0.201 0.065
F 0.500 0.500 0.500
F 0.000 0.000 0.000
F 0.875 0.782 0.218
F 0.125 0.218 0.782
F 0.625 0.282 0.718
F 0.375 0.718 0.282
F 0.460 0.958 0.332
F 0.540 0.042 0.668
F 0.249 0.332 0.958
F 0.040 0.168 0.542
F 0.751 0.668 0.042
F 0.960 0.832 0.458
F 0.251 0.542 0.168
F 0.749 0.458 0.832



Entry 3:
Entry from Alexandria via LeMat-Bulk: a relaxed V4Ge2Mo3 crystal (PBE).

Formation enthalpy at 0 K: -0.159 eV/atom
Total moment: 0.0 μB/f.u.
DFT total energy: -79.6 eV/cell
DOS at the Fermi energy: 0.70 states/eV per atom

Lattice parameters (Å, degrees): 4.366 5.005 7.610 61.48 73.35 64.15
Fractional coordinates of all 9 atoms:
V 0.331 0.320 0.018
V 0.899 0.530 0.673
V 0.101 0.470 0.327
V 0.669 0.680 0.982
Ge 0.771 0.145 0.312
Ge 0.229 0.855 0.688
Mo 0.553 0.227 0.667
Mo 0.000 0.000 0.000
Mo 0.447 0.773 0.333



Entry 4:
Entry from Alexandria via LeMat-Bulk: a relaxed RbTlIN2 crystal (PBE).

Total moment: 5.0 μB/f.u.
Energy relative to the lowest polymorph listed for this composition: 352 meV per atom
DFT total energy: -14.4 eV/cell
DOS at the Fermi energy: 0.52 states/eV per atom
Formation energy without anion corrections: 7.2 eV/f.u.

Lattice parameters (Å, degrees): 5.505 5.505 7.400 90.00 90.00 90.00
Site moments in Bohr magnetons follow the coordinates.
Fractional coordinates of all 5 atoms:
I 0.000 0.000 0.500  0.02
Tl 0.500 0.500 0.500  0.00
Rb 0.000 0.000 0.000  0.05
N 0.000 0.500 0.000  1.57
N 0.500 0.000 0.000  1.57